Compound: MnNiSe2
Source: the Alexandria database
Functional: GGA-PBE
Structure: optimized geometry

Geometry as extended XYZ:
```
8
Lattice="5.384 0.000 0.000 0.000 5.384 0.000 2.692 2.692 5.236" Properties=species:S:1:pos:R:3 pbc="T T T"
Se 4.002 1.346 1.309
Se 6.730 6.694 3.927
Se 1.383 4.038 1.309
Mn 2.692 5.384 2.618
Ni 5.384 2.692 2.618
Se 4.038 4.075 3.927
Mn 2.692 2.692 0.000
Ni 0.000 0.000 0.000
```

Computed properties:
ΔE_f (raw) = -0.30 eV per formula unit
Distance to the lowest polymorph of the same formula = 250.9 meV/atom
D(E_F) = 1.27 states/eV/atom
SG = I-42d



Compound: Mn2NiSe
Source: the Alexandria database
Functional: GGA-PBE
Structure: optimized geometry

Geometry as extended XYZ:
```
4
Lattice="5.079 0.066 -0.122 2.422 4.465 0.122 -3.431 -2.794 2.497" Properties=species:S:1:pos:R:3 pbc="T T T"
Ni 3.829 2.313 0.000
Se 2.472 -0.369 1.188
Mn 7.492 4.526 0.000
Mn 1.528 2.064 1.310
```

Computed properties:
ΔE_f (raw) = 0.43 eV per formula unit
D(E_F) = 0.59 states/eV/atom
SG = Imm2



Compound: MnNi5Se8
Source: the Alexandria database
Functional: GGA-PBE
Structure: optimized geometry

Geometry as extended XYZ:
```
14
Lattice="6.184 0.000 3.571 2.061 5.831 3.571 0.000 0.000 7.141" Properties=species:S:1:pos:R:3 pbc="T T T"
Se 3.181 2.250 5.510
Se 6.006 2.250 7.141
Ni 5.163 3.650 5.341
Se 4.271 5.050 10.712
Ni 2.044 3.650 7.141
Mn 2.061 1.458 3.571
Ni 0.000 0.000 0.000
Se 3.181 2.250 8.772
Ni 5.163 3.650 8.942
Se 7.141 5.050 12.369
Se 7.141 5.050 9.055
Ni 4.123 0.710 7.141
Se 6.184 2.344 10.712
Se 4.123 4.913 7.141
```

Computed properties:
ΔE_f (raw) = -4.11 eV per formula unit
D(E_F) = 0.67 states/eV/atom
SG = F-43m



Compound: MnNiSe
Source: the Alexandria database
Functional: GGA-PBE
Structure: optimized geometry

Geometry as extended XYZ:
```
3
Lattice="-3.446 -0.843 2.750 -3.774 -2.421 -0.213 0.316 -2.978 1.551" Properties=species:S:1:pos:R:3 pbc="T T T"
Mn -7.198 -3.263 2.534
Se -4.662 -3.167 2.202
Ni -2.264 -3.076 1.888
```

Computed properties:
ΔE_f (raw) = 0.12 eV per formula unit
Distance to the lowest polymorph of the same formula = 154.3 meV/atom
D(E_F) = 0.81 states/eV/atom
SG = I4mm



Compound: MnNiSe2
Source: the Alexandria database
Functional: GGA-PBE
Structure: optimized geometry

Geometry as extended XYZ:
```
4
Lattice="-2.498 -1.731 -1.941 -2.816 -1.538 1.646 -4.951 4.129 -0.662" Properties=species:S:1:pos:R:3 pbc="T T T"
Se -2.497 0.101 -0.227
Ni -3.579 -2.120 -0.203
Se -4.221 2.931 -0.533
Mn -5.101 0.378 -0.473
```

Computed properties:
ΔE_f (raw) = -0.82 eV per formula unit
Distance to the lowest polymorph of the same formula = 121.3 meV/atom
D(E_F) = 0.45 states/eV/atom
SG = R3m



Compound: MnNiSe2
Source: the Alexandria database
Functional: GGA-PBE
Structure: optimized geometry

Geometry as extended XYZ:
```
4
Lattice="-1.444 -3.316 0.574 1.493 -2.942 -1.590 3.600 -2.833 4.394" Properties=species:S:1:pos:R:3 pbc="T T T"
Ni 0.912 -2.273 0.845
Se 0.101 -6.266 -0.947
Se 1.772 -4.538 1.620
Mn 2.737 -6.819 2.534
```

Computed properties:
ΔE_f (raw) = -0.96 eV per formula unit
Distance to the lowest polymorph of the same formula = 86.8 meV/atom
D(E_F) = 0.42 states/eV/atom
SG = C2/m



Compound: Mn2NiSe
Source: the Alexandria database
Functional: GGA-PBE
Structure: optimized geometry

Geometry as extended XYZ:
```
4
Lattice="4.034 0.000 0.000 0.000 4.034 0.000 0.000 0.000 2.887" Properties=species:S:1:pos:R:3 pbc="T T T"
Mn 2.017 2.017 0.000
Se 0.000 2.017 1.443
Mn 0.000 0.000 0.000
Ni 2.017 0.000 1.443
```

Computed properties:
ΔE_f (raw) = 1.10 eV per formula unit
D(E_F) = 1.11 states/eV/atom
SG = P4/mmm



Compound: Mn2NiSe
Source: the Alexandria database
Functional: GGA-PBE
Structure: optimized geometry

Geometry as extended XYZ:
```
4
Lattice="-3.693 2.063 0.743 0.131 -5.654 -2.339 -1.018 -2.424 1.661" Properties=species:S:1:pos:R:3 pbc="T T T"
Ni -1.781 -1.796 -0.798
Mn 0.000 0.000 0.000
Mn -0.443 -4.039 -0.339
Se -2.355 -0.181 1.202
```

Computed properties:
ΔE_f (raw) = 0.45 eV per formula unit
D(E_F) = 0.83 states/eV/atom
SG = Cmmm